Density functional theory data (GGA-PBE) for a geometry-optimized La2NdIn9 structure.

Cell: 4.764 4.764 14.294 Å, 90.00 90.00 90.00°
Space group P4/mmm (No. 123)
Asymmetric unit:
La (0.000, 0.000, 0.169) [2 per cell]
Nd (0.000, 0.000, 0.500) [1 per cell]
In (0.000, 0.500, 0.000) [2 per cell]
In (0.000, 0.500, 0.336) [4 per cell]
In (0.500, 0.500, 0.167) [2 per cell]
In (0.500, 0.500, 0.500) [1 per cell]

Results
- total magnetization (μB per formula unit) = 0.000
- E_tot (eV/atom) = -3.76

Density functional theory data (GGA-PBE) for a geometry-optimized La7Nd4In structure.

Cell: 6.313 6.934 10.272 Å, 109.38 91.01 90.15°
Space group P-1 (No. 2)
Asymmetric unit:
La (0.000, 0.000, 0.000) [1 per cell]
La (0.252, 0.171, 0.346) [2 per cell]
La (0.252, 0.713, 0.433) [2 per cell]
La (0.253, 0.544, 0.089) [2 per cell]
Nd (0.260, 0.605, 0.738) [2 per cell]
Nd (0.262, 0.133, 0.735) [2 per cell]
In (0.500, 0.000, 0.000) [1 per cell]

Results
- total magnetization (μB per formula unit) = 0.000
- E_tot (eV/atom) = -4.72

Density functional theory data (GGA-PBE) for a geometry-optimized LaNd5In6 structure.

Cell: 5.500 7.771 16.515 Å, 90.00 90.00 90.00°
Space group Immm (No. 71)
Asymmetric unit:
La (0.000, 0.000, 0.000) [2 per cell]
Nd (0.000, 0.000, 0.332) [4 per cell]
Nd (0.000, 0.500, 0.000) [2 per cell]
Nd (0.000, 0.500, 0.337) [4 per cell]
In (0.000, 0.241, 0.500) [4 per cell]
In (0.000, 0.254, 0.169) [8 per cell]

Results
- total magnetization (μB per formula unit) = 0.000
- E_tot (eV/atom) = -4.26

Density functional theory data (GGA-PBE) for a geometry-optimized La8NdIn2 structure.

Cell: 17.846 6.966 6.326 Å, 90.00 103.86 90.00°
Space group C2/m (No. 12)
Asymmetric unit:
La (0.002, 0.000, 0.239) [4 per cell]
La (0.132, 0.500, 0.072) [4 per cell]
La (0.174, 0.234, 0.606) [8 per cell]
Nd (0.000, 0.500, 0.500) [2 per cell]
In (0.179, 0.000, 0.102) [4 per cell]

Results
- distance to the lowest polymorph of the same formula (meV/atom) = 12.2
- total magnetization (μB per formula unit) = 0.000
- E_tot (eV/atom) = -4.64

Energy relative to the elements for every record listed, in sequence, given in eV/atom: -0.4827; -0.0248; -0.4975; -0.1281.